(1)
A geometry-optimized ScSiOs structure, computed with PBE-GGA.

Cell: 4.203 4.203 3.204 Å, 90.00 90.00 120.00°
Fractional positions:
Os 0.000 0.000 0.833
Sc 0.667 0.333 0.333
Si 0.333 0.667 0.833

Calculated values
The value obtained for the density of states at the Fermi level is 1.68 states/eV/f.u. The total energy is -24.77 eV for the cell shown. For the formation energy from raw total energies, the calculation gives -0.597 eV per atom.


(2)
A geometry-optimized CaCo8 structure, computed with PBE-GGA.

Cell: 5.832 5.832 5.832 Å, 95.86 95.86 142.73°
Each line ends with the local moment (μB).
Fractional positions:
Ca 0.000 0.000 0.000  -0.10
Co 0.689 0.311 0.000  1.69
Co 0.311 0.689 0.000  1.69
Co 0.000 0.648 0.648  1.57
Co 0.311 0.311 0.622  1.69
Co 0.648 0.000 0.648  1.57
Co 0.689 0.689 0.378  1.69
Co 0.000 0.352 0.352  1.57
Co 0.352 0.000 0.352  1.57

Calculated values
The value obtained for the density of states at the Fermi level is 8.66 states/eV/f.u. The value obtained for the formation energy is 200 meV per atom. The total energy is -57.05 eV for the cell shown.


(3)
A geometry-optimized Na3CdI structure, computed with PBE-GGA.

Cell: 5.982 5.982 5.982 Å, 90.00 90.00 90.00°
Fractional positions:
I 0.000 0.000 0.000
Na 0.000 0.500 0.000
Na 0.000 0.000 0.500
Na 0.500 0.000 0.000
Cd 0.500 0.500 0.500

Calculated values
The value obtained for the density of states at the Fermi level is 2.31 states/eV/f.u. The offset from the most stable computed form comes out at 0.00 kJ per mole of atoms. The total energy is -7.53 eV for the cell shown. For the formation energy from raw total energies, the calculation gives -0.221 eV per atom.


(4)
A geometry-optimized NaFeC2 structure, computed with PBE-GGA.

Cell: 4.807 4.807 6.104 Å, 66.81 66.81 90.00°
Fractional positions:
Na 0.500 0.500 0.000
Na 0.250 0.750 0.500
C 0.875 0.125 0.250
C 0.875 0.625 0.250
C 0.375 0.125 0.750
C 0.875 0.125 0.750
Fe 0.000 0.000 0.000
Fe 0.750 0.250 0.500

Calculated values
The value obtained for the density of states at the Fermi level is 0.95 states/eV/f.u. The offset from the most stable computed form comes out at 0.00 kJ per mole of atoms. The value obtained for the formation energy is 693 meV per atom. The total energy is -50.91 eV for the cell shown.


(5)
A geometry-optimized Sm4Te2CN structure, computed with PBE-GGA.

Cell: 3.893 6.743 7.475 Å, 107.54 90.00 90.00°
Fractional positions:
Sm 0.500 0.229 0.188
Sm 0.500 0.771 0.812
Sm 0.000 0.270 0.809
Sm 0.000 0.730 0.191
Te 0.500 0.000 0.500
Te 0.000 0.500 0.500
C 0.500 0.500 0.000
N 0.000 0.000 0.000

Calculated values
The value obtained for the density of states at the Fermi level is 2.65 states/eV/f.u. The total energy is -51.40 eV for the cell shown. For the formation energy from raw total energies, the calculation gives -1.086 eV per atom.


(6)
A geometry-optimized LiTlAg4 structure, computed with PBE-GGA.

Cell: 4.756 5.314 9.567 Å, 90.00 104.39 90.00°
Fractional positions:
Li 0.602 0.843 0.204
Li 0.398 0.343 0.796
Tl 0.935 0.584 0.870
Tl 0.065 0.084 0.130
Ag 0.849 0.104 0.699
Ag 0.151 0.604 0.301
Ag 0.461 0.907 0.922
Ag 0.539 0.407 0.078
Ag 0.738 0.740 0.476
Ag 0.262 0.240 0.524
Ag 0.685 0.255 0.369
Ag 0.315 0.755 0.631

Calculated values
The value obtained for the density of states at the Fermi level is 1.91 states/eV/f.u. The offset from the most stable computed form comes out at 8.35 kJ per mole of atoms. The value obtained for the formation energy is 51 meV per atom. The total energy is -30.76 eV for the cell shown.


(7)
A geometry-optimized Tm8Mg2Co structure, computed with PBE-GGA.

Cell: 5.441 6.840 8.989 Å, 110.85 107.62 90.00°
Fractional positions:
Tm 0.398 0.602 0.797
Tm 0.638 0.919 0.276
Tm 0.806 0.753 0.613
Tm 0.987 0.225 0.975
Tm 0.194 0.247 0.387
Tm 0.362 0.081 0.724
Tm 0.602 0.398 0.203
Tm 0.013 0.775 0.025
Mg 0.816 0.303 0.632
Mg 0.184 0.697 0.368
Co 0.500 0.000 0.000

Calculated values
The value obtained for the density of states at the Fermi level is 10.71 states/eV/f.u. The value obtained for the formation energy is -19 meV per atom. The total energy is -46.28 eV for the cell shown.


(8)
A geometry-optimized NaPa4Se8 structure, computed with PBE-GGA.

Cell: 8.286 8.286 8.473 Å, 103.72 104.70 119.87°
Each line ends with the local moment (μB).
Fractional positions:
Na 0.000 0.500 0.500  0.00
Pa 0.249 0.249 0.000  1.13
Pa 0.751 0.751 0.000  1.13
Pa 0.259 0.759 0.018  1.11
Pa 0.741 0.241 0.982  1.11
Se 0.703 0.035 0.217  -0.03
Se 0.181 0.514 0.217  -0.03
Se 0.694 0.517 0.211  -0.03
Se 0.190 0.028 0.218  -0.03
Se 0.810 0.972 0.782  -0.03
Se 0.306 0.483 0.789  -0.03
Se 0.819 0.486 0.783  -0.03
Se 0.297 0.965 0.783  -0.03

Calculated values
The value obtained for the density of states at the Fermi level is 21.05 states/eV/f.u. The offset from the most stable computed form comes out at 0.00 kJ per mole of atoms. The total energy is -84.15 eV for the cell shown. For the formation energy from raw total energies, the calculation gives -1.305 eV per atom.


(9)
A geometry-optimized MgTaCl2 structure, computed with PBE-GGA.

Cell: 4.959 4.959 4.959 Å, 60.00 60.00 60.00°
Each line ends with the local moment (μB).
Fractional positions:
Cl 0.000 0.000 0.000  0.07
Cl 0.250 0.250 0.250  -0.01
Mg 0.500 0.500 0.500  0.02
Ta 0.750 0.750 0.750  1.77

Calculated values
The value obtained for the density of states at the Fermi level is 5.35 states/eV/f.u. The offset from the most stable computed form comes out at 123.50 kJ per mole of atoms. The total energy is -14.28 eV for the cell shown. For the formation energy from raw total energies, the calculation gives 0.715 eV per atom.


What did the second record say?
A geometry-optimized CaCo8 structure, computed with PBE-GGA.

Cell: 5.832 5.832 5.832 Å, 95.86 95.86 142.73°
Each line ends with the local moment (μB).
Fractional positions:
Ca 0.000 0.000 0.000  -0.10
Co 0.689 0.311 0.000  1.69
Co 0.311 0.689 0.000  1.69
Co 0.000 0.648 0.648  1.57
Co 0.311 0.311 0.622  1.69
Co 0.648 0.000 0.648  1.57
Co 0.689 0.689 0.378  1.69
Co 0.000 0.352 0.352  1.57
Co 0.352 0.000 0.352  1.57

Calculated values
The value obtained for the density of states at the Fermi level is 8.66 states/eV/f.u. The value obtained for the formation energy is 200 meV per atom. The total energy is -57.05 eV for the cell shown.


Please write out number 6 again, unchanged.
A geometry-optimized LiTlAg4 structure, computed with PBE-GGA.

Cell: 4.756 5.314 9.567 Å, 90.00 104.39 90.00°
Fractional positions:
Li 0.602 0.843 0.204
Li 0.398 0.343 0.796
Tl 0.935 0.584 0.870
Tl 0.065 0.084 0.130
Ag 0.849 0.104 0.699
Ag 0.151 0.604 0.301
Ag 0.461 0.907 0.922
Ag 0.539 0.407 0.078
Ag 0.738 0.740 0.476
Ag 0.262 0.240 0.524
Ag 0.685 0.255 0.369
Ag 0.315 0.755 0.631

Calculated values
The value obtained for the density of states at the Fermi level is 1.91 states/eV/f.u. The offset from the most stable computed form comes out at 8.35 kJ per mole of atoms. The value obtained for the formation energy is 51 meV per atom. The total energy is -30.76 eV for the cell shown.